Record 1
4
Lattice="-1.223 1.200 -2.183 -0.137 -2.461 -1.276 -5.340 -0.976 2.456" Properties=species:S:1:pos:R:3 comment="Be2MoRh (PBE-GGA, relaxed)" delta_e_f_kj_per_mol_atoms=-29 dos_ef_per_ev_cell=3.1 magmom_total_mub_per_atom=0.00 space_group="P4/mmm, No. 123" pbc="T T T"
Be -2.870 -0.525 1.320
Rh -4.685 -1.363 0.112
Be -5.140 -0.940 2.364
Mo -2.015 -0.875 -1.115

***

Record 2
4
Lattice="-1.082 1.573 -2.020 -2.296 -1.567 0.009 -2.735 4.031 4.604" Properties=species:S:1:pos:R:3 comment="BeMoRh2 (PBE-GGA, relaxed)" delta_e_f_kj_per_mol_atoms=-21 dos_ef_per_ev_cell=2.6 magmom_total_mub_per_atom=0.00 space_group="P4mm, No. 99" pbc="T T T"
Mo -3.661 2.910 2.315
Rh -2.502 1.202 0.363
Be -1.305 1.924 2.198
Rh -0.011 0.016 0.019